(1)
DFT (GGA-PBE) results for crystalline Pm3Sm4Y8 at its relaxed geometry.

## Properties
Space group: C2/m (12)
ΔH_f (0 K), eV per formula unit: 5.55
Electronic total energy, eV per cell: -79.3

Cell lengths 6.8038, 9.3561, 9.3561 Å; angles 87.19, 111.33, 111.33 degrees
Sites, in units of the cell vectors:
Pm1 0.5000 0.5000 0.0000
Pm2 0.5000 0.5000 0.5000
Pm3 0.5000 0.0000 0.5000
Y1 0.4727 0.7335 0.7335
Y2 0.0068 0.2657 0.2657
Y3 0.0000 0.3579 0.6421
Y4 0.0000 0.6421 0.3579
Y5 0.5000 0.2540 0.7460
Y6 0.5000 0.7460 0.2540
Y7 0.5273 0.2665 0.2665
Y8 0.9932 0.7343 0.7343
Sm1 0.0000 0.0000 0.0000
Sm2 0.0000 0.5000 0.0000
Sm3 0.5000 0.0000 0.0000
Sm4 0.0000 0.0000 0.5000



(2)
DFT (GGA-PBE) results for crystalline InW3 at its relaxed geometry.

## Properties
Space group: Pm-3m (221)
ΔH_f (0 K), eV per formula unit: 2.21
Electronic total energy, eV per cell: -39.4

Cell lengths 4.0837, 4.0837, 4.0837 Å; angles 90.00, 90.00, 90.00 degrees
Sites, in units of the cell vectors:
In1 0.0000 0.0000 0.0000
W1 0.5000 0.5000 0.0000
W2 0.0000 0.5000 0.5000
W3 0.5000 0.0000 0.5000



(3)
DFT (GGA-PBE) results for crystalline HfTlF5 at its relaxed geometry.

## Properties
Excess energy over the best structure of this formula in the dataset, meV per atom: 66
Space group: Immm (71)
Electronic total energy, eV per cell: -44.2
Energy relative to the elements, uncorrected, eV per atom: -3.22

Cell lengths 4.1889, 6.1948, 6.1948 Å; angles 65.15, 70.24, 70.24 degrees
Sites, in units of the cell vectors:
Hf1 0.0000 0.0000 0.0000
F1 0.1399 0.0786 0.6416
F2 0.5000 0.0000 0.0000
F3 0.8601 0.9214 0.3584
F4 0.1399 0.6416 0.0786
F5 0.8601 0.3584 0.9214
Tl1 0.5000 0.5000 0.5000



(4)
DFT (GGA-PBE) results for crystalline NbB2I2 at its relaxed geometry.

## Properties
Excess energy over the best structure of this formula in the dataset, meV per atom: 0
Space group: I4/mmm (139)
Electronic total energy, eV per cell: -19.9
Energy relative to the elements, uncorrected, eV per atom: 1.32

Cell lengths 3.2208, 3.2208, 10.9996 Å; angles 81.58, 81.58, 90.00 degrees
Sites, in units of the cell vectors:
B1 0.2500 0.7500 0.5000
B2 0.7500 0.2500 0.5000
I1 0.5833 0.5833 0.8333
I2 0.4167 0.4167 0.1667
Nb1 0.0000 0.0000 0.0000



(5)
DFT (GGA-PBE) results for crystalline KLaRhPb2 at its relaxed geometry.

## Properties
Space group: P4/mmm (123)
ΔH_f (0 K), eV per formula unit: 0.51
Electronic total energy, eV per cell: -20.3

Cell lengths 5.3347, 5.4656, 5.3347 Å; angles 90.00, 90.00, 90.00 degrees
Sites, in units of the cell vectors:
Pb1 0.0000 0.0000 0.5000
Pb2 0.5000 0.0000 0.0000
Rh1 0.0000 0.0000 0.0000
La1 0.5000 0.5000 0.5000
K1 0.0000 0.5000 0.0000



(6)
DFT (GGA-PBE) results for crystalline FeNiSn3 at its relaxed geometry.

## Properties
Excess energy over the best structure of this formula in the dataset, meV per atom: 0
Space group: Pm-3m (221)
ΔH_f (0 K), eV per formula unit: 2.41
Electronic total energy, eV per cell: -23.8

Cell lengths 4.8296, 4.8296, 4.8296 Å; angles 90.00, 90.00, 90.00 degrees
Sites, in units of the cell vectors:
Sn1 0.0000 0.0000 0.5000
Sn2 0.0000 0.5000 0.0000
Sn3 0.5000 0.0000 0.0000
Fe1 0.0000 0.0000 0.0000
Ni1 0.5000 0.5000 0.5000



(7)
DFT (GGA-PBE) results for crystalline Tm6MgSc2 at its relaxed geometry.

## Properties
Excess energy over the best structure of this formula in the dataset, meV per atom: 8
Space group: P4_2/mnm (136)
ΔH_f (0 K), eV per formula unit: 0.41
Electronic total energy, eV per cell: -81.4

Cell lengths 4.8645, 10.2024, 10.2025 Å; angles 90.00, 90.01, 90.00 degrees
Sites, in units of the cell vectors:
Sc1 0.5001 0.8307 0.6692
Sc2 0.9999 0.3307 0.8308
Sc3 0.4999 0.1693 0.3308
Sc4 0.0001 0.6693 0.1692
Tm1 0.4998 0.1644 0.6645
Tm2 0.5002 0.8356 0.3355
Tm3 0.0001 0.6678 0.5003
Tm4 0.5000 0.4996 0.6678
Tm5 0.5000 0.5004 0.3322
Tm6 0.0000 0.9996 0.8322
Tm7 0.0000 0.0004 0.1678
Tm8 0.9999 0.3322 0.4997
Tm9 0.5001 0.8322 0.0003
Tm10 0.0002 0.6644 0.8355
Tm11 0.4999 0.1678 0.9997
Tm12 0.9998 0.3356 0.1645
Mg1 0.0000 0.0000 0.5000
Mg2 0.5000 0.5000 0.0000



(8)
DFT (GGA-PBE) results for crystalline PmHo2S5 at its relaxed geometry.

## Properties
Space group: I4/mcm (140)
Electronic total energy, eV per cell: -97.3
Energy relative to the elements, uncorrected, eV per atom: -1.76

Cell lengths 7.3116, 7.3116, 8.1284 Å; angles 116.73, 116.73, 90.00 degrees
Sites, in units of the cell vectors:
S1 0.5000 0.5000 0.0000
S2 0.5092 0.7017 0.7109
S3 0.2017 0.0092 0.7109
S4 0.2983 0.7983 0.2891
S5 0.9908 0.4908 0.2891
S6 0.4908 0.2983 0.2891
S7 0.7017 0.2017 0.7109
S8 0.0000 0.0000 0.0000
S9 0.7983 0.9908 0.2891
S10 0.0092 0.5092 0.7109
Ho1 0.8427 0.6573 0.0000
Ho2 0.1573 0.3427 0.0000
Ho3 0.3427 0.8427 0.0000
Ho4 0.6573 0.1573 0.0000
Pm1 0.2500 0.2500 0.5000
Pm2 0.7500 0.7500 0.5000



(9)
DFT (GGA-PBE) results for crystalline PrSi3Tc3 at its relaxed geometry.

## Properties
Excess energy over the best structure of this formula in the dataset, meV per atom: 0
Space group: P2_1/m (11)
Electronic total energy, eV per cell: -110.7
Energy relative to the elements, uncorrected, eV per atom: -0.46

Cell lengths 4.1892, 10.0084, 7.9297 Å; angles 132.65, 90.00, 90.00 degrees
Sites, in units of the cell vectors:
Si1 0.2500 0.6083 0.7999
Si2 0.2500 0.2913 0.3834
Si3 0.7500 0.7087 0.6166
Si4 0.7500 0.9289 0.3755
Si5 0.7500 0.3917 0.2001
Si6 0.2500 0.0711 0.6245
Tc1 0.2500 0.2250 0.0182
Tc2 0.2500 0.8905 0.8542
Tc3 0.7500 0.1095 0.1458
Tc4 0.7500 0.0064 0.7364
Tc5 0.2500 0.9936 0.2636
Tc6 0.7500 0.7750 0.9818
Pr1 0.2500 0.6610 0.2862
Pr2 0.7500 0.3390 0.7138



(10)
DFT (GGA-PBE) results for crystalline Ce2Sm2N5 at its relaxed geometry.

## Properties
Space group: Cmce (64)
Electronic total energy, eV per cell: -147.3
Energy relative to the elements, uncorrected, eV per atom: -1.19

Cell lengths 6.6596, 6.6038, 6.8573 Å; angles 118.78, 90.00, 90.00 degrees
Sites, in units of the cell vectors:
N1 0.1551 0.4678 0.2641
N2 0.3449 0.7036 0.7359
N3 0.6551 0.2964 0.2641
N4 0.8449 0.7964 0.2641
N5 0.6551 0.0322 0.7359
N6 0.8449 0.5322 0.7359
N7 0.3449 0.9678 0.2641
N8 0.5000 0.5000 0.0000
N9 0.0000 0.0000 0.0000
N10 0.1551 0.2036 0.7359
Ce1 0.3396 0.1614 0.0000
Ce2 0.6604 0.8386 0.0000
Ce3 0.8396 0.3386 0.0000
Ce4 0.1604 0.6614 0.0000
Sm1 0.0000 0.2038 0.4076
Sm2 0.0000 0.7962 0.5924
Sm3 0.5000 0.2962 0.5924
Sm4 0.5000 0.7038 0.4076